Below is a relaxed structure of Ac3Ni5Se12, with properties calculated at the PBE level.

POSCAR file:
```
Ac3Ni5Se12
1.0
13.629 0.000 0.000
-4.543 12.849 0.000
-4.543 -6.425 11.128
Se Ni Ac
48 20 12
Direct
0.407 0.015 0.321
0.586 0.695 0.679
0.515 0.321 0.907
0.608 0.593 0.914
0.015 0.608 0.695
0.805 0.321 0.914
0.485 0.679 0.093
0.015 0.407 0.821
0.321 0.515 0.407
0.392 0.985 0.805
0.407 0.392 0.586
0.914 0.821 0.805
0.414 0.305 0.321
0.414 0.108 0.593
0.093 0.914 0.108
0.392 0.407 0.086
0.305 0.414 0.821
0.608 0.015 0.195
0.179 0.086 0.695
0.593 0.985 0.679
0.593 0.608 0.414
0.086 0.907 0.392
0.515 0.195 0.108
0.907 0.086 0.892
0.679 0.485 0.593
0.805 0.485 0.392
0.321 0.805 0.414
0.907 0.821 0.515
0.821 0.907 0.015
0.695 0.108 0.015
0.985 0.593 0.179
0.179 0.093 0.985
0.195 0.679 0.086
0.985 0.392 0.305
0.485 0.805 0.892
0.093 0.179 0.485
0.821 0.914 0.305
0.086 0.179 0.195
0.695 0.586 0.179
0.892 0.305 0.485
0.914 0.093 0.608
0.108 0.414 0.093
0.305 0.892 0.985
0.679 0.195 0.586
0.892 0.586 0.907
0.108 0.695 0.515
0.195 0.515 0.608
0.586 0.892 0.407
0.750 0.625 0.375
0.000 0.000 0.000
0.125 0.375 0.250
0.250 0.875 0.125
0.875 0.250 0.625
0.750 0.125 0.875
0.375 0.125 0.750
0.625 0.875 0.250
0.250 0.375 0.625
0.500 0.500 0.500
0.500 0.000 0.500
0.500 0.000 0.000
0.500 0.500 0.000
0.375 0.250 0.125
0.000 0.000 0.500
0.000 0.500 0.500
0.875 0.625 0.750
0.125 0.750 0.375
0.625 0.750 0.875
0.000 0.500 0.000
0.375 0.625 0.250
0.250 0.625 0.875
0.250 0.125 0.375
0.625 0.250 0.375
0.125 0.250 0.875
0.750 0.375 0.125
0.875 0.750 0.125
0.625 0.375 0.750
0.125 0.875 0.750
0.375 0.750 0.625
0.750 0.875 0.625
0.875 0.125 0.250
```

Output
formation energy (no corrections) = -0.765 eV per atom
calculated total energy = -4.92 eV per atom